First-principles (GGA-PBEsol) data for a geometry-optimized Ho5SbPd2 structure, as listed in the Alexandria database.

CIF file:
```
data_Ho5SbPd2
_chemical_formula_sum 'Ho20 Sb4 Pd8'
_space_group_name_H-M_alt 'I 4/m c m'
_space_group_IT_number 140
_space_group_name_Hall '-I 4 2c'
_cell_length_a 7.6064
_cell_length_b 7.6064
_cell_length_c 13.3480
_cell_angle_alpha 90.00
_cell_angle_beta 90.00
_cell_angle_gamma 90.00
loop_
_atom_site_label
_atom_site_type_symbol
_atom_site_fract_x
_atom_site_fract_y
_atom_site_fract_z
Ho1 Ho 0.0000 0.0000 0.0000
Ho2 Ho 0.1567 0.3433 0.1425
Sb1 Sb 0.0000 0.0000 0.2500
Pd1 Pd 0.1353 0.3647 0.5000
```

Calculated values
The calculation puts the magnetic moment at 0.000 μB per formula unit. For the energy relative to the elements, uncorrected, the calculation gives -784 meV per atom. The density of states at the Fermi level comes out at 0.75 states/eV/atom.